The following is a DFT calculation (GGA-PBEsol) of a relaxed structure of SrReSeBr2.

Cell: 5.191 5.191 4.739 Å, 90.00 90.00 90.00°
Sites, in units of the cell vectors:
Sr (0.000, 0.000, 0.000)
Re (0.500, 0.500, 0.500)
Se (0.500, 0.500, 0.000)
Br (0.000, 0.500, 0.500)
Br (0.500, 0.000, 0.500)

## Properties
The volume is 127.7 Å³/cell. The uncorrected formation energy is -0.33 eV/atom. Its space-group type is P4/mmm (123).